A geometry-optimized TaVAg2Pd structure. Source: Alexandria, functional PBE-GGA.

a b c (Å): 4.8717 4.8717 4.4403
angles (deg): 90.00 90.00 90.00
Space group P4/mmm (No. 123)
Symmetry-distinct sites (fractional):
1 Ta 0.0000 0.0000 0.0000 (multiplicity 1)
2 V 0.5000 0.5000 0.0000 (multiplicity 1)
3 Ag 0.0000 0.5000 0.5000 (multiplicity 2)
4 Pd 0.5000 0.5000 0.5000 (multiplicity 1)

Values from the calculation:
The value obtained for the formation energy is 1470.7 meV/atom. For the density of states at the Fermi level, the calculation gives 5.62 states/eV/cell.